Record 1
# ScAgSe, relaxed, DFT PBE
data_ScAgSe
_chemical_formula_sum 'Sc4 Ag4 Se4'
_cell_length_a 6.537
_cell_length_b 6.537
_cell_length_c 6.537
_cell_angle_alpha 90.00
_cell_angle_beta 90.00
_cell_angle_gamma 90.00
_symmetry_space_group_name_H-M 'F -4 3 m'
_symmetry_Int_Tables_number 216
_symmetry_space_group_name_Hall 'F -4 2 3'
loop_
_atom_site_label
_atom_site_type_symbol
_atom_site_fract_x
_atom_site_fract_y
_atom_site_fract_z
Sc1 Sc 0.000 0.000 0.000
Ag1 Ag 0.250 0.250 0.750
Se1 Se 0.250 0.250 0.250
# Fermi-level density of states   0.458 states/eV per atom
# Calculated density   5.5 g/cm³
# Formation energy (no corrections)   -578 meV per atom
# Energy   -57.60 eV/cell

Record 2
# Li2HfZrZn, relaxed, DFT PBE
data_Li2HfZrZn
_chemical_formula_sum 'Li2 Hf1 Zr1 Zn1'
_cell_length_a 4.572
_cell_length_b 4.572
_cell_length_c 5.025
_cell_angle_alpha 90.00
_cell_angle_beta 90.00
_cell_angle_gamma 90.00
_symmetry_space_group_name_H-M 'P 4/m m m'
_symmetry_Int_Tables_number 123
_symmetry_space_group_name_Hall '-P 4 2'
loop_
_atom_site_label
_atom_site_type_symbol
_atom_site_fract_x
_atom_site_fract_y
_atom_site_fract_z
Li1 Li 0.000 0.500 0.000
Hf1 Hf 0.000 0.000 0.500
Zr1 Zr 0.500 0.500 0.000
Zn1 Zn 0.500 0.500 0.500
# Fermi-level density of states   1.225 states/eV per atom
# Calculated density   5.5 g/cm³
# Energy   -17.37 eV/cell

Record 3
# CaBiRhPb2, relaxed, DFT PBE
data_CaBiRhPb2
_chemical_formula_sum 'Ca1 Bi1 Rh1 Pb2'
_cell_length_a 5.795
_cell_length_b 5.795
_cell_length_c 4.816
_cell_angle_alpha 90.00
_cell_angle_beta 90.00
_cell_angle_gamma 90.00
_symmetry_space_group_name_H-M 'P 4/m m m'
_symmetry_Int_Tables_number 123
_symmetry_space_group_name_Hall '-P 4 2'
loop_
_atom_site_label
_atom_site_type_symbol
_atom_site_fract_x
_atom_site_fract_y
_atom_site_fract_z
Ca1 Ca 0.000 0.000 0.000
Bi1 Bi 0.500 0.500 0.500
Rh1 Rh 0.000 0.000 0.500
Pb1 Pb 0.000 0.500 0.000
# Fermi-level density of states   0.376 states/eV per atom
# Calculated density   7.9 g/cm³
# Energy   -17.14 eV/cell

Record 4
# SIO2F, relaxed, DFT PBE
data_SIO2F
_chemical_formula_sum 'S1 I1 O2 F1'
_cell_length_a 3.556
_cell_length_b 3.556
_cell_length_c 7.133
_cell_angle_alpha 90.00
_cell_angle_beta 90.00
_cell_angle_gamma 90.00
_symmetry_space_group_name_H-M 'P 4/m m m'
_symmetry_Int_Tables_number 123
_symmetry_space_group_name_Hall '-P 4 2'
loop_
_atom_site_label
_atom_site_type_symbol
_atom_site_fract_x
_atom_site_fract_y
_atom_site_fract_z
S1 S 0.000 0.000 0.000
I1 I 0.000 0.000 0.500
O1 O 0.000 0.500 0.000
F1 F 0.500 0.500 0.500
# Fermi-level density of states   0.723 states/eV per atom
# Calculated density   3.9 g/cm³
# Formation energy (no corrections)   5 meV per atom
# Energy   -17.44 eV/cell

- Which formula does entry 4 have?
  SIO2F

- What is the energy in the third record?
  -17.14 eV/cell

- Fermi-level density of states of number 4 (SIO2F)?
  0.723 states/eV per atom

What did the third record say?
# CaBiRhPb2, relaxed, DFT PBE
data_CaBiRhPb2
_chemical_formula_sum 'Ca1 Bi1 Rh1 Pb2'
_cell_length_a 5.795
_cell_length_b 5.795
_cell_length_c 4.816
_cell_angle_alpha 90.00
_cell_angle_beta 90.00
_cell_angle_gamma 90.00
_symmetry_space_group_name_H-M 'P 4/m m m'
_symmetry_Int_Tables_number 123
_symmetry_space_group_name_Hall '-P 4 2'
loop_
_atom_site_label
_atom_site_type_symbol
_atom_site_fract_x
_atom_site_fract_y
_atom_site_fract_z
Ca1 Ca 0.000 0.000 0.000
Bi1 Bi 0.500 0.500 0.500
Rh1 Rh 0.000 0.000 0.500
Pb1 Pb 0.000 0.500 0.000
# Fermi-level density of states   0.376 states/eV per atom
# Calculated density   7.9 g/cm³
# Energy   -17.14 eV/cell